Computed, not measured: a geometry-optimized InSiPAu2 structure at the PBE-GGA level of DFT.

Cell and atoms, written as POSCAR:
```
InSiPAu2
1.0
4.757 0.000 0.000
0.000 4.757 0.000
0.000 0.000 4.943
In Si P Au
1 1 1 2
Direct
0.000 0.000 0.000
0.500 0.500 0.000
0.500 0.500 0.500
0.000 0.500 0.500
0.500 0.000 0.500
```

Results
ΔE_f (raw)	0.384	eV/atom

Computed, not measured: a geometry-optimized InSi2PAu structure at the PBE-GGA level of DFT.

Cell and atoms, written as POSCAR:
```
InSi2PAu
1.0
4.502 0.000 0.000
0.000 4.502 0.000
0.000 0.000 5.166
In Si P Au
1 2 1 1
Direct
0.000 0.000 0.000
0.000 0.500 0.500
0.500 0.000 0.500
0.000 0.000 0.500
0.500 0.500 0.000
```

Results
ΔE_f (raw)	0.689	eV/atom

Question: Number 2 is which compound?
Answer: InSi2PAu

Question: The lowest ΔE_f (raw) belongs to which entry?
Answer: InSiPAu2